Tb3ScHg12 GGA-PBE relaxed; ΔE_f = -4.7 eV/f.u.; SG = P4/mmm
1.0
-1.037 -3.888 2.024
4.002 -1.688 -1.192
7.550 6.439 16.238
Tb Sc Hg
3 1 12
Direct
0.000 0.000 0.245
0.000 0.000 0.500
0.000 0.000 0.755
0.000 0.000 0.000
0.500 0.500 0.000
0.500 0.500 0.246
0.500 0.500 0.500
0.500 0.500 0.754
0.500 0.000 0.120
0.500 0.000 0.373
0.500 0.000 0.627
0.500 0.000 0.880
0.000 0.500 0.120
0.000 0.500 0.373
0.000 0.500 0.627
0.000 0.500 0.880